DFT (PBE-GGA) results for an optimized crystal structure of RbCoRuCl2.

## Properties
SG	P4/mmm, No. 123
electronic total energy	-3.4667	eV per atom
uncorrected formation energy	3.71	eV per formula unit

Cell: 4.6927 7.0384 4.6927 Å, 90.00 90.00 90.00°
With the nearest neighbours (Å) after each atom.
Fractional positions:
Ru 0.0000 0.0000 0.0000  4 Cl 2.35
Co 0.5000 0.5000 0.5000  4 Rb 3.32
Cl 0.5000 0.0000 0.0000  2 Ru 2.35
Cl 0.0000 0.0000 0.5000  2 Ru 2.35
Rb 0.0000 0.5000 0.0000  4 Co 3.32, 2 Ru 3.52

DFT (PBE-GGA) results for an optimized crystal structure of Zn6Ga3Tc.

## Properties
SG	Cmc2_1, No. 36
electronic total energy	-2.6582	eV per atom
calculated formation energy	0.051	eV/atom

Cell: 5.2189 8.4233 8.4233 Å, 113.15 90.00 90.00°
With the nearest neighbours (Å) after each atom.
Fractional positions:
Ga 0.1403 0.3673 0.6327  1 Tc 2.49, 6 Zn 2.68-2.79
Zn 0.1865 0.7925 0.2075  2 Tc 2.58-2.66, 5 Zn 2.76-2.85
Zn 0.5029 0.6074 0.6634  4 Ga 2.48-2.71, 4 Zn 2.51-2.73
Ga 0.3545 0.3194 0.1065  5 Zn 2.48-2.75, 1 Tc 2.48
Zn 0.9180 0.9372 0.5280  5 Zn 2.68-2.92, 3 Ga 2.68-2.79, 2 Tc 2.84-2.90
Zn 0.0029 0.6634 0.6074  4 Ga 2.48-2.71, 4 Zn 2.51-2.73
Zn 0.4180 0.5280 0.9372  5 Zn 2.68-2.92, 3 Ga 2.68-2.79, 2 Tc 2.84-2.90
Tc 0.6783 0.8093 0.1907  3 Ga 2.48-2.49, 3 Zn 2.58-2.66
Zn 0.4180 0.0628 0.4720  5 Zn 2.68-2.92, 3 Ga 2.68-2.79, 2 Tc 2.84-2.90
Ga 0.6403 0.6327 0.3673  1 Tc 2.49, 6 Zn 2.68-2.79
Ga 0.8545 0.1065 0.3194  5 Zn 2.48-2.75, 1 Tc 2.48
Zn 0.0029 0.3926 0.3366  4 Ga 2.48-2.71, 4 Zn 2.51-2.73
Ga 0.3545 0.8935 0.6806  5 Zn 2.48-2.75, 1 Tc 2.48
Zn 0.9180 0.4720 0.0628  5 Zn 2.68-2.92, 3 Ga 2.68-2.79, 2 Tc 2.84-2.90
Zn 0.6865 0.2075 0.7925  2 Tc 2.58-2.66, 5 Zn 2.76-2.85
Ga 0.8545 0.6806 0.8935  5 Zn 2.48-2.75, 1 Tc 2.48
Zn 0.4295 0.9734 0.0266  1 Tc 2.65, 3 Zn 2.71-2.84, 2 Ga 2.75
Zn 0.9295 0.0266 0.9734  1 Tc 2.65, 3 Zn 2.71-2.84, 2 Ga 2.75
Tc 0.1783 0.1907 0.8093  3 Ga 2.48-2.49, 3 Zn 2.58-2.66
Zn 0.5029 0.3366 0.3926  4 Ga 2.48-2.71, 4 Zn 2.51-2.73

DFT (PBE-GGA) results for an optimized crystal structure of Pa2SiGe3.

## Properties
SG	Pmm2, No. 25
electronic total energy	-6.7158	eV per atom
uncorrected formation energy	-2.03	eV per formula unit

Cell: 3.9645 3.8852 8.0098 Å, 90.00 90.00 90.00°
With the nearest neighbours (Å) after each atom.
Fractional positions:
Pa 0.0000 0.0000 0.5122  4 Si 3.02, 6 Ge 3.06-3.20
Ge 0.0000 0.5000 0.1537  3 Ge 2.54-2.60
Pa 0.5000 0.0000 0.9906  8 Ge 3.06-3.07, 2 Si 3.27
Si 0.5000 0.5000 0.6618  3 Ge 2.40-2.48
Ge 0.5000 0.5000 0.3521  1 Si 2.48, 2 Ge 2.54
Ge 0.0000 0.5000 0.8296  2 Si 2.40, 1 Ge 2.60

DFT (PBE-GGA) results for an optimized crystal structure of Cu4P3O12.

## Properties
SG	C2/c, No. 15
electronic total energy	-6.2559	eV per atom
uncorrected formation energy	-26.75	eV per formula unit

Cell: 8.5859 8.5859 7.4475 Å, 67.79 67.79 88.52°
With the nearest neighbours (Å) after each atom.
Fractional positions:
O 0.0087 0.6898 0.3858  1 P 1.55
P 0.1208 0.3469 0.3866  4 O 1.52-1.61
P 0.2720 0.7280 0.7500  4 O 1.52-1.62
O 0.5090 0.7340 0.1656  1 P 1.61
Cu 0.9336 0.6150 0.1586  4 O 1.89-1.98
O 0.1909 0.1981 0.8636  1 P 1.52
P 0.3469 0.1208 0.8866  4 O 1.52-1.61
O 0.2660 0.4910 0.3344  1 P 1.61
O 0.6898 0.0087 0.8858  1 P 1.55
P 0.7280 0.2720 0.2500  4 O 1.52-1.62
Cu 0.6150 0.9336 0.6586  4 O 1.89-1.98
O 0.0421 0.4160 0.2198  1 P 1.55
Cu 0.5072 0.4928 0.2500  4 O 1.91-1.92
Cu 0.2559 0.7441 0.2500  4 O 1.95-2.03
Cu 0.7441 0.2559 0.7500  4 O 1.95-2.03
O 0.4642 0.7321 0.7365  1 P 1.62
P 0.8792 0.6531 0.6134  4 O 1.52-1.61
O 0.7340 0.5090 0.6656  1 P 1.61
O 0.4910 0.2660 0.8344  1 P 1.61
O 0.1981 0.1909 0.3636  1 P 1.52
O 0.8091 0.8019 0.1364  1 P 1.52
Cu 0.3850 0.0664 0.3414  4 O 1.89-1.98
O 0.3102 0.9913 0.1142  1 P 1.55
O 0.5840 0.9579 0.2802  1 P 1.55
O 0.9579 0.5840 0.7802  1 P 1.55
O 0.7321 0.4642 0.2365  1 P 1.62
O 0.7465 0.1576 0.4521  1 P 1.52
O 0.8424 0.2535 0.0479  1 P 1.52
O 0.8019 0.8091 0.6364  1 P 1.52
O 0.5358 0.2679 0.2635  1 P 1.62
Cu 0.0664 0.3850 0.8414  4 O 1.89-1.98
Cu 0.4928 0.5072 0.7500  4 O 1.91-1.92
O 0.1576 0.7465 0.9521  1 P 1.52
O 0.2535 0.8424 0.5479  1 P 1.52
O 0.2679 0.5358 0.7635  1 P 1.62
O 0.9913 0.3102 0.6142  1 P 1.55
O 0.4160 0.0421 0.7198  1 P 1.55
P 0.6531 0.8792 0.1134  4 O 1.52-1.61

DFT (PBE-GGA) results for an optimized crystal structure of CaP.

## Properties
SG	I-43m, No. 217
electronic total energy	-3.9048	eV per atom
calculated formation energy	-0.199	eV/atom

Cell: 8.4920 8.4920 8.4920 Å, 90.00 90.00 90.00°
With the nearest neighbours (Å) after each atom.
Fractional positions:
Ca 0.3083 0.6917 0.6917  4 P 2.74-2.79
P 0.3777 0.6223 0.3777  4 Ca 2.74-2.79, 3 P 2.94
P 0.6223 0.3777 0.3777  4 Ca 2.74-2.79, 3 P 2.94
Ca 0.1917 0.1917 0.8083  4 P 2.74-2.79
P 0.1223 0.1223 0.1223  4 Ca 2.74-2.79, 3 P 2.94
P 0.6223 0.6223 0.6223  4 Ca 2.74-2.79, 3 P 2.94
P 0.3777 0.3777 0.6223  4 Ca 2.74-2.79, 3 P 2.94
Ca 0.8083 0.8083 0.8083  4 P 2.74-2.79
Ca 0.6917 0.3083 0.6917  4 P 2.74-2.79
P 0.8777 0.1223 0.8777  4 Ca 2.74-2.79, 3 P 2.94
Ca 0.3083 0.3083 0.3083  4 P 2.74-2.79
Ca 0.6917 0.6917 0.3083  4 P 2.74-2.79
Ca 0.8083 0.1917 0.1917  4 P 2.74-2.79
Ca 0.1917 0.8083 0.1917  4 P 2.74-2.79
P 0.1223 0.8777 0.8777  4 Ca 2.74-2.79, 3 P 2.94
P 0.8777 0.8777 0.1223  4 Ca 2.74-2.79, 3 P 2.94

DFT (PBE-GGA) results for an optimized crystal structure of BaTl2SnBi2.

## Properties
SG	Pmc2_1, No. 26
electronic total energy	-3.3681	eV per atom
calculated formation energy	-0.298	eV/atom

Cell: 5.4555 8.0921 9.9086 Å, 90.00 90.00 90.00°
With the nearest neighbours (Å) after each atom.
Fractional positions:
Sn 0.5000 0.1712 0.6916  4 Bi 3.15-3.26
Bi 0.5000 0.2909 0.3777  2 Sn 3.15-3.26, 2 Tl 3.44
Bi 0.0000 0.2217 0.8448  2 Sn 3.15, 2 Tl 3.21-3.31
Tl 0.0000 0.3250 0.1682  4 Bi 3.21-3.44
Bi 0.0000 0.7217 0.1552  2 Sn 3.15, 2 Tl 3.21-3.31
Ba 0.0000 0.0038 0.4327  5 Bi 3.57-3.73, 1 Tl 3.69, 2 Sn 3.98
Ba 0.0000 0.5038 0.5673  5 Bi 3.57-3.73, 1 Tl 3.69, 2 Sn 3.98
Tl 0.5000 0.5330 0.9437  5 Bi 3.76-3.84, 6 Tl 3.78-4.20, 2 Sn 3.78-3.85
Bi 0.5000 0.7909 0.6223  2 Sn 3.15-3.26, 2 Tl 3.44
Tl 0.0000 0.8250 0.8318  4 Bi 3.21-3.44
Sn 0.5000 0.6712 0.3084  4 Bi 3.15-3.26
Tl 0.5000 0.0330 0.0563  5 Bi 3.76-3.84, 6 Tl 3.78-4.20, 2 Sn 3.78-3.85

DFT (PBE-GGA) results for an optimized crystal structure of MnZnCu4.

## Properties
SG	C2/m, No. 12
electronic total energy	-4.4557	eV per atom
calculated formation energy	0.016	eV/atom

Cell: 4.4799 7.8470 4.4818 Å, 90.00 106.12 90.00°
With the nearest neighbours (Å) after each atom.
Fractional positions:
Cu 0.0001 0.8321 0.5001  7 Cu 2.58-2.69, 3 Zn 2.60-2.61, 2 Mn 2.60
Zn 0.5000 0.0000 0.5000  10 Cu 2.60-2.61, 2 Mn 2.69
Cu 0.5000 0.8316 0.0001  7 Cu 2.58-2.69, 3 Mn 2.60, 2 Zn 2.60
Cu 0.4999 0.3321 0.4999  7 Cu 2.58-2.69, 3 Zn 2.60-2.61, 2 Mn 2.60
Mn 0.5000 0.5000 0.0000  10 Cu 2.60, 2 Zn 2.69
Mn 0.0000 0.0000 0.0000  10 Cu 2.60, 2 Zn 2.69
Cu 0.5000 0.1684 0.9999  7 Cu 2.58-2.69, 3 Mn 2.60, 2 Zn 2.60
Zn 0.0000 0.5000 0.5000  10 Cu 2.60-2.61, 2 Mn 2.69
Cu 0.5001 0.6679 0.5001  7 Cu 2.58-2.69, 3 Zn 2.60-2.61, 2 Mn 2.60
Cu 0.0000 0.6684 0.0001  7 Cu 2.58-2.69, 3 Mn 2.60, 2 Zn 2.60
Cu 0.9999 0.1679 0.4999  7 Cu 2.58-2.69, 3 Zn 2.60-2.61, 2 Mn 2.60
Cu 0.0000 0.3316 0.9999  7 Cu 2.58-2.69, 3 Mn 2.60, 2 Zn 2.60

DFT (PBE-GGA) results for an optimized crystal structure of K3TbPm2Te6.

## Properties
SG	C2/m, No. 12
electronic total energy	-4.4345	eV per atom
uncorrected formation energy	-16.94	eV per formula unit

Cell: 7.9074 7.9074 8.6624 Å, 98.75 98.75 120.00°
With the nearest neighbours (Å) after each atom.
Fractional positions:
Pm 0.3336 0.6664 0.0000  6 Te 3.18
Tb 0.0000 0.0000 0.0000  6 Te 3.13
K 0.5000 0.5000 0.5000  6 Te 3.54-3.58
Te 0.6009 0.9296 0.7882  1 Tb 3.13, 2 Pm 3.18
Pm 0.6664 0.3336 0.0000  6 Te 3.18
Te 0.2575 0.2575 0.7876  1 Tb 3.13, 2 Pm 3.18
Te 0.3991 0.0704 0.2118  1 Tb 3.13, 2 Pm 3.18
K 0.8317 0.1683 0.5000  6 Te 3.54-3.56
K 0.1683 0.8317 0.5000  6 Te 3.54-3.56
Te 0.9296 0.6009 0.7882  1 Tb 3.13, 2 Pm 3.18
Te 0.0704 0.3991 0.2118  1 Tb 3.13, 2 Pm 3.18
Te 0.7425 0.7425 0.2124  1 Tb 3.13, 2 Pm 3.18